A | First-principles (PBE-GGA) data for a geometry-optimized TmReC structure, as listed in Alexandria via LeMat-Bulk.

Structure (POSCAR):
```
TmReC
1.0
-2.741 0.592 -3.452
-2.658 -1.377 1.874
0.620 3.475 0.104
Re C Tm
1 1 1
Cartesian
-0.930 1.957 0.118 Re
-0.437 0.095 -0.551 C
-3.412 0.639 -1.041 Tm
```

magnetization = 0.00 μB per formula unit
space group = No. 156
ρ = 12.69 g/cm³



B | First-principles (PBE-GGA) data for a geometry-optimized TmReC structure, as listed in Alexandria via LeMat-Bulk.

Structure (POSCAR):
```
TmReC
1.0
-1.191 -2.070 2.160
2.845 -0.583 -1.390
4.657 5.057 7.414
C Re Tm
2 2 2
Cartesian
4.341 2.007 4.317 C
0.668 -1.017 1.793 C
0.073 0.079 0.116 Re
2.401 2.608 3.823 Re
2.733 0.261 1.757 Tm
3.716 2.293 6.647 Tm
```

magnetization = 0.00 μB per formula unit
space group = No. 186
ρ = 13.43 g/cm³



Stability summary - winner: B; margin: 0.149 eV/atom.



A | First-principles (PBE-GGA) data for a geometry-optimized U2Re2C3 structure, as listed in Alexandria via LeMat-Bulk.

Structure (POSCAR):
```
U2Re2C3
1.0
6.175 0.000 0.007
5.388 3.017 0.007
2.107 0.550 5.140
Re C U
2 3 2
Cartesian
10.484 2.736 1.732 Re
3.186 0.831 3.423 Re
10.270 2.680 3.886 C
3.400 0.887 1.269 C
0.000 0.000 0.000 C
7.370 1.923 1.012 U
6.300 1.644 4.144 U
```

magnetization = 2.06 μB per formula unit
space group = No. 12
ρ = 15.35 g/cm³



B | First-principles (PBE-GGA) data for a geometry-optimized U2Re2C3 structure, as listed in Alexandria via LeMat-Bulk.

Structure (POSCAR):
```
U2Re2C3
1.0
1.519 5.787 -0.047
-1.519 5.787 -0.047
0.000 1.422 5.339
U Re C
2 2 3
Cartesian
0.000 7.203 0.836 U
0.000 5.793 4.408 U
0.000 10.315 1.871 Re
0.000 2.682 3.373 Re
0.000 0.711 2.669 C
0.000 3.240 1.259 C
0.000 9.756 3.985 C
```

magnetization = 0.00 μB per formula unit
space group = No. 12
ρ = 15.61 g/cm³



Stability summary - winner: A; margin: 0.093 eV/atom.



A | First-principles (PBE-GGA) data for a geometry-optimized VReC2 structure, as listed in Alexandria via LeMat-Bulk.

Structure (POSCAR):
```
VReC2
1.0
0.000 2.644 2.644
2.644 0.000 2.644
2.644 2.644 0.000
Re C V
1 2 1
Cartesian
2.644 2.644 2.644 Re
1.322 1.322 1.322 C
3.966 3.966 3.966 C
0.000 0.000 0.000 V
```

magnetization = 0.00 μB per formula unit
space group = No. 225
ρ = 11.73 g/cm³



B | First-principles (PBE-GGA) data for a geometry-optimized VReC2 structure, as listed in Alexandria via LeMat-Bulk.

Structure (POSCAR):
```
VReC2
1.0
-3.109 3.062 -1.373
-3.352 -2.739 1.481
-3.060 2.185 4.183
Re C V
2 4 2
Cartesian
0.000 0.000 0.000 Re
-4.700 2.704 1.432 Re
-3.128 2.119 0.372 C
-3.248 -0.784 1.800 C
-4.717 1.761 3.177 C
-7.950 1.921 3.232 C
-3.230 0.161 0.054 V
-4.821 -0.196 2.859 V
```

magnetization = 0.00 μB per formula unit
space group = No. 122
ρ = 9.01 g/cm³



Stability summary - winner: B; margin: 0.205 eV/atom.



A | First-principles (PBE-GGA) data for a geometry-optimized ReWC3 structure, as listed in Alexandria via LeMat-Bulk.

Structure (POSCAR):
```
ReWC3
1.0
-2.535 -1.039 -2.832
-2.785 -0.615 2.718
-1.159 3.751 -0.339
Re C W
1 3 1
Cartesian
0.000 0.000 0.000 Re
-1.393 -0.307 1.359 C
-0.579 1.875 -0.170 C
-1.267 -0.519 -1.416 C
-3.239 1.049 -0.226 W
```

magnetization = 0.00 μB per formula unit
space group = No. 221
ρ = 11.02 g/cm³



B | First-principles (PBE-GGA) data for a geometry-optimized ReWC3 structure, as listed in Alexandria via LeMat-Bulk.

Structure (POSCAR):
```
ReWC3
1.0
3.993 0.000 0.000
0.000 3.993 0.000
0.000 0.000 3.993
Re C W
1 3 1
Cartesian
1.997 1.997 1.997 Re
0.000 1.997 0.000 C
0.000 0.000 1.997 C
1.997 0.000 0.000 C
0.000 0.000 0.000 W
```

magnetization = 0.00 μB per formula unit
space group = No. 221
ρ = 10.59 g/cm³



Stability summary - winner: A; margin: 0.217 eV/atom.